Record 1
# PBE AcTb7Er3, optimized geometry
data_AcTb7Er3
_space_group_name_H-M_alt 'P 1'
_space_group_IT_number 1
_space_group_name_Hall 'P 1'
_cell_length_a 7.013
_cell_length_b 5.604
_cell_length_c 9.834
_cell_angle_alpha 90.00
_cell_angle_beta 108.43
_cell_angle_gamma 90.00
loop_
_atom_site_label
_atom_site_type_symbol
_atom_site_fract_x
_atom_site_fract_y
_atom_site_fract_z
Ac1 Ac 0.000 0.000 0.000
Tb1 Tb 0.000 0.000 0.500
Tb2 Tb 0.146 0.500 0.789
Tb3 Tb 0.335 0.500 0.145
Tb4 Tb 0.434 0.000 0.334
Tb5 Tb 0.566 0.000 0.666
Tb6 Tb 0.665 0.500 0.855
Tb7 Tb 0.854 0.500 0.211
Er1 Er 0.274 0.500 0.493
Er2 Er 0.500 0.000 0.000
Er3 Er 0.726 0.500 0.507
# - ρ (g cm⁻³) = 8.34
# - N(E_F) (states/eV/f.u.) = 15.7
# - energy relative to the elements (eV/atom) = 0.1409
# - excess energy over the best structure of this formula in the dataset (eV/f.u.) = 0.00

Record 2
# PBE Ac2Tb3Er, optimized geometry
data_Ac2Tb3Er
_space_group_name_H-M_alt 'P 1'
_space_group_IT_number 1
_space_group_name_Hall 'P 1'
_cell_length_a 8.262
_cell_length_b 8.262
_cell_length_c 11.654
_cell_angle_alpha 114.95
_cell_angle_beta 114.95
_cell_angle_gamma 36.97
loop_
_atom_site_label
_atom_site_type_symbol
_atom_site_fract_x
_atom_site_fract_y
_atom_site_fract_z
Ac1 Ac 0.035 0.035 0.366
Ac2 Ac 0.291 0.291 0.633
Ac3 Ac 0.709 0.709 0.367
Ac4 Ac 0.965 0.965 0.634
Tb1 Tb 0.124 0.124 0.116
Tb2 Tb 0.211 0.211 0.883
Tb3 Tb 0.452 0.452 0.113
Tb4 Tb 0.548 0.548 0.887
Tb5 Tb 0.789 0.789 0.117
Tb6 Tb 0.876 0.876 0.884
Er1 Er 0.372 0.372 0.365
Er2 Er 0.628 0.628 0.635
# - ρ (g cm⁻³) = 8.51
# - N(E_F) (states/eV/f.u.) = 8.9
# - energy relative to the elements (eV/atom) = 0.0574

Record 3
# PBE AcTb5Er2, optimized geometry
data_AcTb5Er2
_space_group_name_H-M_alt 'P 1'
_space_group_IT_number 1
_space_group_name_Hall 'P 1'
_cell_length_a 8.857
_cell_length_b 8.857
_cell_length_c 8.857
_cell_angle_alpha 156.61
_cell_angle_beta 101.68
_cell_angle_gamma 83.09
loop_
_atom_site_label
_atom_site_type_symbol
_atom_site_fract_x
_atom_site_fract_y
_atom_site_fract_z
Ac1 Ac 0.000 0.000 0.000
Tb1 Tb 0.139 0.365 0.773
Tb2 Tb 0.408 0.635 0.773
Tb3 Tb 0.500 0.000 0.500
Tb4 Tb 0.592 0.365 0.227
Tb5 Tb 0.861 0.635 0.227
Er1 Er 0.247 0.747 0.500
Er2 Er 0.753 0.253 0.500
# - ρ (g cm⁻³) = 8.46
# - N(E_F) (states/eV/f.u.) = 10.4
# - energy relative to the elements (eV/atom) = 0.0232
# - excess energy over the best structure of this formula in the dataset (eV/f.u.) = 0.00

Record 4
# PBE Ac6Tb2Er, optimized geometry
data_Ac6Tb2Er
_space_group_name_H-M_alt 'P 1'
_space_group_IT_number 1
_space_group_name_Hall 'P 1'
_cell_length_a 9.865
_cell_length_b 9.865
_cell_length_c 7.743
_cell_angle_alpha 90.27
_cell_angle_beta 90.27
_cell_angle_gamma 79.13
loop_
_atom_site_label
_atom_site_type_symbol
_atom_site_fract_x
_atom_site_fract_y
_atom_site_fract_z
Ac1 Ac 0.097 0.108 0.130
Ac2 Ac 0.108 0.097 0.630
Ac3 Ac 0.116 0.603 0.123
Ac4 Ac 0.154 0.611 0.611
Ac5 Ac 0.389 0.846 0.889
Ac6 Ac 0.397 0.884 0.377
Ac7 Ac 0.603 0.116 0.623
Ac8 Ac 0.611 0.154 0.111
Ac9 Ac 0.846 0.389 0.389
Ac10 Ac 0.884 0.397 0.877
Ac11 Ac 0.892 0.903 0.370
Ac12 Ac 0.903 0.892 0.870
Tb1 Tb 0.295 0.305 0.893
Tb2 Tb 0.305 0.295 0.393
Tb3 Tb 0.695 0.705 0.607
Tb4 Tb 0.705 0.695 0.107
Er1 Er 0.478 0.522 0.250
Er2 Er 0.522 0.478 0.750
# - ρ (g cm⁻³) = 8.29
# - N(E_F) (states/eV/f.u.) = 14.8
# - energy relative to the elements (eV/atom) = 0.1666

Record 5
# PBE AcTb4Er2, optimized geometry
data_AcTb4Er2
_space_group_name_H-M_alt 'P 1'
_space_group_IT_number 1
_space_group_name_Hall 'P 1'
_cell_length_a 20.538
_cell_length_b 20.538
_cell_length_c 20.538
_cell_angle_alpha 10.11
_cell_angle_beta 10.11
_cell_angle_gamma 10.11
loop_
_atom_site_label
_atom_site_type_symbol
_atom_site_fract_x
_atom_site_fract_y
_atom_site_fract_z
Ac1 Ac 0.000 0.000 0.000
Tb1 Tb 0.143 0.143 0.143
Tb2 Tb 0.283 0.283 0.283
Tb3 Tb 0.717 0.717 0.717
Tb4 Tb 0.857 0.857 0.857
Er1 Er 0.430 0.430 0.430
Er2 Er 0.570 0.570 0.570
# - ρ (g cm⁻³) = 8.59
# - N(E_F) (states/eV/f.u.) = 9.5
# - energy relative to the elements (eV/atom) = 0.0501

Record 6
# PBE AcTbEr4, optimized geometry
data_AcTbEr4
_space_group_name_H-M_alt 'P 1'
_space_group_IT_number 1
_space_group_name_Hall 'P 1'
_cell_length_a 5.693
_cell_length_b 5.693
_cell_length_c 6.991
_cell_angle_alpha 90.00
_cell_angle_beta 90.00
_cell_angle_gamma 120.00
loop_
_atom_site_label
_atom_site_type_symbol
_atom_site_fract_x
_atom_site_fract_y
_atom_site_fract_z
Ac1 Ac 0.000 0.000 0.000
Tb1 Tb 0.000 0.000 0.500
Er1 Er 0.333 0.667 0.257
Er2 Er 0.333 0.667 0.743
Er3 Er 0.667 0.333 0.257
Er4 Er 0.667 0.333 0.743
# - ρ (g cm⁻³) = 8.93
# - N(E_F) (states/eV/f.u.) = 9.5
# - energy relative to the elements (eV/atom) = 0.0819
# - excess energy over the best structure of this formula in the dataset (eV/f.u.) = 0.11

Record 7
# PBE AcTb12Er2, optimized geometry
data_AcTb12Er2
_space_group_name_H-M_alt 'P 1'
_space_group_IT_number 1
_space_group_name_Hall 'P 1'
_cell_length_a 6.668
_cell_length_b 6.668
_cell_length_c 24.499
_cell_angle_alpha 92.24
_cell_angle_beta 92.24
_cell_angle_gamma 114.74
loop_
_atom_site_label
_atom_site_type_symbol
_atom_site_fract_x
_atom_site_fract_y
_atom_site_fract_z
Ac1 Ac 0.250 0.250 0.000
Ac2 Ac 0.750 0.750 0.000
Tb1 Tb 0.051 0.550 0.205
Tb2 Tb 0.083 0.584 0.331
Tb3 Tb 0.137 0.638 0.555
Tb4 Tb 0.142 0.142 0.574
Tb5 Tb 0.214 0.214 0.856
Tb6 Tb 0.230 0.730 0.922
Tb7 Tb 0.270 0.770 0.078
Tb8 Tb 0.286 0.286 0.143
Tb9 Tb 0.358 0.358 0.425
Tb10 Tb 0.362 0.863 0.445
Tb11 Tb 0.416 0.917 0.669
Tb12 Tb 0.450 0.949 0.795
Tb13 Tb 0.550 0.051 0.205
Tb14 Tb 0.584 0.083 0.331
Tb15 Tb 0.638 0.137 0.555
Tb16 Tb 0.642 0.642 0.575
Tb17 Tb 0.714 0.714 0.857
Tb18 Tb 0.730 0.230 0.922
Tb19 Tb 0.770 0.270 0.078
Tb20 Tb 0.786 0.786 0.144
Tb21 Tb 0.858 0.858 0.426
Tb22 Tb 0.863 0.362 0.445
Tb23 Tb 0.917 0.416 0.669
Tb24 Tb 0.949 0.450 0.795
Er1 Er 0.069 0.069 0.275
Er2 Er 0.432 0.432 0.725
Er3 Er 0.568 0.568 0.275
Er4 Er 0.931 0.931 0.725
# - ρ (g cm⁻³) = 8.31
# - N(E_F) (states/eV/f.u.) = 23.4
# - energy relative to the elements (eV/atom) = 0.1137

Record 8
# PBE AcTb7Er3, optimized geometry
data_AcTb7Er3
_space_group_name_H-M_alt 'P 1'
_space_group_IT_number 1
_space_group_name_Hall 'P 1'
_cell_length_a 7.117
_cell_length_b 7.117
_cell_length_c 8.651
_cell_angle_alpha 90.00
_cell_angle_beta 90.00
_cell_angle_gamma 120.00
loop_
_atom_site_label
_atom_site_type_symbol
_atom_site_fract_x
_atom_site_fract_y
_atom_site_fract_z
Ac1 Ac 0.000 0.000 0.000
Tb1 Tb 0.003 0.501 0.996
Tb2 Tb 0.333 0.166 0.334
Tb3 Tb 0.333 0.667 0.328
Tb4 Tb 0.499 0.501 0.996
Tb5 Tb 0.499 0.997 0.996
Tb6 Tb 0.834 0.166 0.334
Tb7 Tb 0.834 0.667 0.334
Er1 Er 0.169 0.337 0.659
Er2 Er 0.169 0.831 0.659
Er3 Er 0.663 0.831 0.659
# - ρ (g cm⁻³) = 8.06
# - N(E_F) (states/eV/f.u.) = 17.4
# - energy relative to the elements (eV/atom) = 0.2151
# - excess energy over the best structure of this formula in the dataset (eV/f.u.) = 0.82